First-principles (PBE-GGA) data for a relaxed ThPa2H6 crystal, as listed in Alexandria.

The density of states at the Fermi level comes out at 0.995 states/eV per atom. Its total energy is -5.500 eV/atom. The magnetization comes out at 1.7 Bohr magnetons per cell.

Lattice parameters (Å, degrees): 6.244 6.244 3.444 105.82 105.82 58.65
Fractional coordinates of all 9 atoms:
Th (0.000, 0.000, 0.000)
Pa (0.331, 0.331, 0.331)
Pa (0.669, 0.669, 0.669)
H (0.085, 0.573, 0.829)
H (0.263, 0.737, 0.500)
H (0.427, 0.915, 0.171)
H (0.573, 0.085, 0.829)
H (0.737, 0.263, 0.500)
H (0.915, 0.427, 0.171)



First-principles (PBE-GGA) data for a relaxed ThPa2H crystal, as listed in Alexandria.

The density of states at the Fermi level comes out at 1.387 states/eV per atom. Its total energy is -7.455 eV/atom. The magnetization comes out at 0.0 Bohr magnetons per cell.

Lattice parameters (Å, degrees): 8.943 8.943 8.943 21.52 21.52 21.52
Fractional coordinates of all 4 atoms:
Th (0.000, 0.000, 0.000)
Pa (0.224, 0.224, 0.224)
Pa (0.776, 0.776, 0.776)
H (0.500, 0.500, 0.500)



First-principles (PBE-GGA) data for a relaxed ThPaH crystal, as listed in Alexandria.

The density of states at the Fermi level comes out at 1.465 states/eV per atom. Its total energy is -6.785 eV/atom. The magnetization comes out at 0.0 Bohr magnetons per cell.

Lattice parameters (Å, degrees): 3.386 3.386 6.010 90.00 90.00 120.00
Fractional coordinates of all 3 atoms:
Th (0.000, 0.000, 0.000)
Pa (0.333, 0.667, 0.511)
H (0.667, 0.333, 0.282)



First-principles (PBE-GGA) data for a relaxed ThPaH2 crystal, as listed in Alexandria.

The density of states at the Fermi level comes out at 0.876 states/eV per atom. Its total energy is -6.065 eV/atom. The magnetization comes out at 0.0 Bohr magnetons per cell.

Lattice parameters (Å, degrees): 6.205 6.205 6.205 33.29 33.29 33.29
Fractional coordinates of all 4 atoms:
Th (0.000, 0.000, 0.000)
Pa (0.500, 0.500, 0.500)
H (0.246, 0.246, 0.246)
H (0.754, 0.754, 0.754)



First-principles (PBE-GGA) data for a relaxed Th2PaH crystal, as listed in Alexandria.

The density of states at the Fermi level comes out at 1.363 states/eV per atom. Its total energy is -6.713 eV/atom. The magnetization comes out at 0.0 Bohr magnetons per cell.

Lattice parameters (Å, degrees): 3.295 3.295 8.328 90.00 90.00 90.00
Fractional coordinates of all 4 atoms:
Th (0.000, 0.000, 0.195)
Th (0.000, 0.000, 0.805)
Pa (0.500, 0.500, 0.500)
H (0.500, 0.500, 0.000)



First-principles (PBE-GGA) data for a relaxed ThPaH crystal, as listed in Alexandria.

The density of states at the Fermi level comes out at 1.322 states/eV per atom. Its total energy is -6.604 eV/atom. The magnetization comes out at 0.0 Bohr magnetons per cell.

Lattice parameters (Å, degrees): 6.111 6.111 6.111 148.57 148.57 45.04
Fractional coordinates of all 3 atoms:
Th (0.000, 0.000, 0.000)
Pa (0.735, 0.735, 0.000)
H (0.211, 0.211, 0.000)



First-principles (PBE-GGA) data for a relaxed Th3PaH crystal, as listed in Alexandria.

The density of states at the Fermi level comes out at 1.515 states/eV per atom. Its total energy is -7.043 eV/atom. The magnetization comes out at 0.0 Bohr magnetons per cell.

Lattice parameters (Å, degrees): 4.997 4.997 4.997 90.00 90.00 90.00
Fractional coordinates of all 5 atoms:
Th (0.000, 0.000, 0.500)
Th (0.000, 0.500, 0.000)
Th (0.500, 0.000, 0.000)
Pa (0.500, 0.500, 0.500)
H (0.000, 0.000, 0.000)



First-principles (PBE-GGA) data for a relaxed Th5Pa3H12 crystal, as listed in Alexandria.

The density of states at the Fermi level comes out at 0.844 states/eV per atom. Its total energy is -5.577 eV/atom. The magnetization comes out at 0.0 Bohr magnetons per cell.

Lattice parameters (Å, degrees): 11.468 11.468 11.468 109.47 109.47 109.47
Fractional coordinates of all 80 atoms:
Th (0.000, 0.000, 0.000)
Th (0.000, 0.000, 0.500)
Th (0.000, 0.500, 0.000)
Th (0.000, 0.500, 0.500)
Th (0.125, 0.750, 0.875)
Th (0.125, 0.875, 0.250)
Th (0.250, 0.125, 0.875)
Th (0.250, 0.625, 0.375)
Th (0.375, 0.250, 0.625)
Th (0.375, 0.625, 0.750)
Th (0.500, 0.000, 0.000)
Th (0.500, 0.000, 0.500)
Th (0.500, 0.500, 0.000)
Th (0.500, 0.500, 0.500)
Th (0.625, 0.375, 0.250)
Th (0.625, 0.750, 0.375)
Th (0.750, 0.375, 0.625)
Th (0.750, 0.875, 0.125)
Th (0.875, 0.125, 0.750)
Th (0.875, 0.250, 0.125)
Pa (0.125, 0.250, 0.375)
Pa (0.125, 0.375, 0.750)
Pa (0.250, 0.375, 0.125)
Pa (0.250, 0.875, 0.625)
Pa (0.375, 0.125, 0.250)
Pa (0.375, 0.750, 0.125)
Pa (0.625, 0.250, 0.875)
Pa (0.625, 0.875, 0.750)
Pa (0.750, 0.125, 0.375)
Pa (0.750, 0.625, 0.875)
Pa (0.875, 0.625, 0.250)
Pa (0.875, 0.750, 0.625)
H (0.073, 0.734, 0.650)
H (0.073, 0.839, 0.423)
H (0.077, 0.661, 0.427)
H (0.077, 0.916, 0.650)
H (0.084, 0.234, 0.161)
H (0.084, 0.350, 0.923)
H (0.150, 0.234, 0.573)
H (0.150, 0.416, 0.577)
H (0.161, 0.084, 0.234)
H (0.161, 0.577, 0.927)
H (0.234, 0.161, 0.084)
H (0.234, 0.573, 0.150)
H (0.266, 0.350, 0.927)
H (0.266, 0.416, 0.339)
H (0.339, 0.266, 0.416)
H (0.339, 0.573, 0.923)
H (0.350, 0.923, 0.084)
H (0.350, 0.927, 0.266)
H (0.416, 0.339, 0.266)
H (0.416, 0.577, 0.150)
H (0.423, 0.073, 0.839)
H (0.423, 0.850, 0.584)
H (0.427, 0.077, 0.661)
H (0.427, 0.850, 0.766)
H (0.573, 0.150, 0.234)
H (0.573, 0.923, 0.339)
H (0.577, 0.150, 0.416)
H (0.577, 0.927, 0.161)
H (0.584, 0.423, 0.850)
H (0.584, 0.661, 0.734)
H (0.650, 0.073, 0.734)
H (0.650, 0.077, 0.916)
H (0.661, 0.427, 0.077)
H (0.661, 0.734, 0.584)
H (0.734, 0.584, 0.661)
H (0.734, 0.650, 0.073)
H (0.766, 0.427, 0.850)
H (0.766, 0.839, 0.916)
H (0.839, 0.423, 0.073)
H (0.839, 0.916, 0.766)
H (0.850, 0.584, 0.423)
H (0.850, 0.766, 0.427)
H (0.916, 0.650, 0.077)
H (0.916, 0.766, 0.839)
H (0.923, 0.084, 0.350)
H (0.923, 0.339, 0.573)
H (0.927, 0.161, 0.577)
H (0.927, 0.266, 0.350)



First-principles (PBE-GGA) data for a relaxed ThPaH crystal, as listed in Alexandria.

The density of states at the Fermi level comes out at 1.326 states/eV per atom. Its total energy is -6.799 eV/atom. The magnetization comes out at 0.0 Bohr magnetons per cell.

Lattice parameters (Å, degrees): 6.757 5.983 6.044 90.00 101.93 90.00
Fractional coordinates of all 12 atoms:
Th (0.148, 0.106, 0.283)
Th (0.148, 0.394, 0.783)
Th (0.852, 0.606, 0.217)
Th (0.852, 0.894, 0.717)
Pa (0.390, 0.609, 0.322)
Pa (0.390, 0.891, 0.822)
Pa (0.610, 0.109, 0.178)
Pa (0.610, 0.391, 0.678)
H (0.139, 0.744, 0.533)
H (0.139, 0.756, 0.033)
H (0.861, 0.244, 0.967)
H (0.861, 0.256, 0.467)



First-principles (PBE-GGA) data for a relaxed ThPaH3 crystal, as listed in Alexandria.

The density of states at the Fermi level comes out at 0.570 states/eV per atom. Its total energy is -5.481 eV/atom. The magnetization comes out at 0.0 Bohr magnetons per cell.

Lattice parameters (Å, degrees): 4.142 4.142 4.142 90.00 90.00 90.00
Fractional coordinates of all 5 atoms:
Th (0.000, 0.000, 0.000)
Pa (0.500, 0.500, 0.500)
H (0.000, 0.500, 0.500)
H (0.500, 0.000, 0.500)
H (0.500, 0.500, 0.000)



First-principles (PBE-GGA) data for a relaxed ThPa2H8 crystal, as listed in Alexandria.

The density of states at the Fermi level comes out at 0.901 states/eV per atom. Its total energy is -5.172 eV/atom. The magnetization comes out at 1.6 Bohr magnetons per cell.

Lattice parameters (Å, degrees): 6.304 6.304 6.304 148.47 120.86 68.57
Fractional coordinates of all 11 atoms:
Th (0.000, 0.000, 0.000)
Pa (0.325, 0.325, 0.000)
Pa (0.675, 0.675, 0.000)
H (0.091, 0.833, 0.258)
H (0.169, 0.669, 0.500)
H (0.274, 0.500, 0.774)
H (0.426, 0.167, 0.258)
H (0.574, 0.833, 0.742)
H (0.726, 0.500, 0.226)
H (0.831, 0.331, 0.500)
H (0.909, 0.167, 0.742)



First-principles (PBE-GGA) data for a relaxed Th2PaH crystal, as listed in Alexandria.

The density of states at the Fermi level comes out at 1.425 states/eV per atom. Its total energy is -6.745 eV/atom. The magnetization comes out at 0.0 Bohr magnetons per cell.

Lattice parameters (Å, degrees): 9.756 9.756 9.756 19.67 19.67 19.67
Fractional coordinates of all 4 atoms:
Th (0.111, 0.111, 0.111)
Th (0.889, 0.889, 0.889)
Pa (0.000, 0.000, 0.000)
H (0.500, 0.500, 0.500)



First-principles (PBE-GGA) data for a relaxed PaTiH2 crystal, as listed in Alexandria.

The density of states at the Fermi level comes out at 1.080 states/eV per atom. Its total energy is -6.170 eV/atom. The magnetization comes out at 0.0 Bohr magnetons per cell.

Lattice parameters (Å, degrees): 5.938 5.938 5.938 30.03 30.03 30.03
Fractional coordinates of all 4 atoms:
Pa (0.000, 0.000, 0.000)
Ti (0.826, 0.826, 0.826)
H (0.223, 0.223, 0.223)
H (0.437, 0.437, 0.437)



First-principles (PBE-GGA) data for a relaxed PaTi2H crystal, as listed in Alexandria.

The density of states at the Fermi level comes out at 1.211 states/eV per atom. Its total energy is -7.148 eV/atom. The magnetization comes out at 0.0 Bohr magnetons per cell.

Lattice parameters (Å, degrees): 8.039 8.039 8.039 21.30 21.30 21.30
Fractional coordinates of all 4 atoms:
Pa (0.000, 0.000, 0.000)
Ti (0.117, 0.117, 0.117)
Ti (0.883, 0.883, 0.883)
H (0.500, 0.500, 0.500)



First-principles (PBE-GGA) data for a relaxed PaTi2H crystal, as listed in Alexandria.

The density of states at the Fermi level comes out at 1.392 states/eV per atom. Its total energy is -6.924 eV/atom. The magnetization comes out at 0.0 Bohr magnetons per cell.

Lattice parameters (Å, degrees): 2.838 2.838 7.523 90.00 90.00 90.00
Fractional coordinates of all 4 atoms:
Pa (0.000, 0.000, 0.000)
Ti (0.500, 0.500, 0.325)
Ti (0.500, 0.500, 0.675)
H (0.000, 0.000, 0.500)



First-principles (PBE-GGA) data for a relaxed PaTi3H crystal, as listed in Alexandria.

The density of states at the Fermi level comes out at 1.311 states/eV per atom. Its total energy is -7.273 eV/atom. The magnetization comes out at 0.0 Bohr magnetons per cell.

Lattice parameters (Å, degrees): 4.268 4.268 4.268 90.00 90.00 90.00
Fractional coordinates of all 5 atoms:
Pa (0.000, 0.000, 0.000)
Ti (0.000, 0.500, 0.500)
Ti (0.500, 0.000, 0.500)
Ti (0.500, 0.500, 0.000)
H (0.500, 0.500, 0.500)



First-principles (PBE-GGA) data for a relaxed PaTiH2 crystal, as listed in Alexandria.

The density of states at the Fermi level comes out at 1.114 states/eV per atom. Its total energy is -6.279 eV/atom. The magnetization comes out at 0.0 Bohr magnetons per cell.

Lattice parameters (Å, degrees): 6.051 6.051 6.051 28.98 28.98 28.98
Fractional coordinates of all 4 atoms:
Pa (0.000, 0.000, 0.000)
Ti (0.500, 0.500, 0.500)
H (0.223, 0.223, 0.223)
H (0.777, 0.777, 0.777)



First-principles (PBE-GGA) data for a relaxed Pa3Ti5H12 crystal, as listed in Alexandria.

The density of states at the Fermi level comes out at 0.850 states/eV per atom. Its total energy is -5.706 eV/atom. The magnetization comes out at 15.6 Bohr magnetons per cell.

Lattice parameters (Å, degrees): 10.270 10.270 10.270 109.47 109.47 109.47
Fractional coordinates of all 80 atoms:
Pa (0.125, 0.250, 0.375)
Pa (0.125, 0.375, 0.750)
Pa (0.250, 0.375, 0.125)
Pa (0.250, 0.875, 0.625)
Pa (0.375, 0.125, 0.250)
Pa (0.375, 0.750, 0.125)
Pa (0.625, 0.250, 0.875)
Pa (0.625, 0.875, 0.750)
Pa (0.750, 0.125, 0.375)
Pa (0.750, 0.625, 0.875)
Pa (0.875, 0.625, 0.250)
Pa (0.875, 0.750, 0.625)
Ti (0.000, 0.000, 0.000)
Ti (0.000, 0.000, 0.500)
Ti (0.000, 0.500, 0.000)
Ti (0.000, 0.500, 0.500)
Ti (0.125, 0.750, 0.875)
Ti (0.125, 0.875, 0.250)
Ti (0.250, 0.125, 0.875)
Ti (0.250, 0.625, 0.375)
Ti (0.375, 0.250, 0.625)
Ti (0.375, 0.625, 0.750)
Ti (0.500, 0.000, 0.000)
Ti (0.500, 0.000, 0.500)
Ti (0.500, 0.500, 0.000)
Ti (0.500, 0.500, 0.500)
Ti (0.625, 0.375, 0.250)
Ti (0.625, 0.750, 0.375)
Ti (0.750, 0.375, 0.625)
Ti (0.750, 0.875, 0.125)
Ti (0.875, 0.125, 0.750)
Ti (0.875, 0.250, 0.125)
H (0.042, 0.209, 0.125)
H (0.042, 0.333, 0.917)
H (0.083, 0.625, 0.416)
H (0.083, 0.958, 0.667)
H (0.084, 0.709, 0.667)
H (0.084, 0.875, 0.417)
H (0.125, 0.042, 0.209)
H (0.125, 0.583, 0.916)
H (0.167, 0.209, 0.584)
H (0.167, 0.458, 0.583)
H (0.209, 0.125, 0.042)
H (0.209, 0.584, 0.167)
H (0.291, 0.333, 0.916)
H (0.291, 0.458, 0.375)
H (0.333, 0.916, 0.291)
H (0.333, 0.917, 0.042)
H (0.375, 0.291, 0.458)
H (0.375, 0.584, 0.917)
H (0.416, 0.083, 0.625)
H (0.416, 0.833, 0.791)
H (0.417, 0.084, 0.875)
H (0.417, 0.833, 0.542)
H (0.458, 0.375, 0.291)
H (0.458, 0.583, 0.167)
H (0.542, 0.417, 0.833)
H (0.542, 0.625, 0.709)
H (0.583, 0.167, 0.458)
H (0.583, 0.916, 0.125)
H (0.584, 0.167, 0.209)
H (0.584, 0.917, 0.375)
H (0.625, 0.416, 0.083)
H (0.625, 0.709, 0.542)
H (0.667, 0.083, 0.958)
H (0.667, 0.084, 0.709)
H (0.709, 0.542, 0.625)
H (0.709, 0.667, 0.084)
H (0.791, 0.416, 0.833)
H (0.791, 0.875, 0.958)
H (0.833, 0.542, 0.417)
H (0.833, 0.791, 0.416)
H (0.875, 0.417, 0.084)
H (0.875, 0.958, 0.791)
H (0.916, 0.125, 0.583)
H (0.916, 0.291, 0.333)
H (0.917, 0.042, 0.333)
H (0.917, 0.375, 0.584)
H (0.958, 0.667, 0.083)
H (0.958, 0.791, 0.875)



First-principles (PBE-GGA) data for a relaxed PaTiH crystal, as listed in Alexandria.

The density of states at the Fermi level comes out at 0.970 states/eV per atom. Its total energy is -7.043 eV/atom. The magnetization comes out at 0.0 Bohr magnetons per cell.

Lattice parameters (Å, degrees): 3.102 3.102 5.336 90.00 90.00 120.00
Fractional coordinates of all 3 atoms:
Pa (0.000, 0.000, 0.000)
Ti (0.667, 0.333, 0.487)
H (0.333, 0.667, 0.675)



First-principles (PBE-GGA) data for a relaxed PaTiH4 crystal, as listed in Alexandria.

The density of states at the Fermi level comes out at 0.609 states/eV per atom. Its total energy is -5.529 eV/atom. The magnetization comes out at 0.0 Bohr magnetons per cell.

Lattice parameters (Å, degrees): 3.137 3.137 5.465 90.00 90.00 90.00
Fractional coordinates of all 6 atoms:
Pa (0.000, 0.000, 0.000)
Ti (0.500, 0.500, 0.500)
H (0.000, 0.500, 0.299)
H (0.000, 0.500, 0.701)
H (0.500, 0.000, 0.299)
H (0.500, 0.000, 0.701)